Record 1
Entry from Alexandria via LeMat-Bulk: Cu4SeS3 after structural relaxation (PBE-GGA).

a = 6.288 Å, b = 6.341 Å, c = 7.392 Å
α = 90.00°, β = 90.00°, γ = 90.00°
Positions (direct):
Cu 0.138 0.815 0.000
Cu 0.617 0.164 0.000
Cu 0.139 0.342 0.261
Cu 0.639 0.658 0.239
Cu 0.117 0.836 0.500
Cu 0.638 0.185 0.500
Cu 0.639 0.658 0.761
Cu 0.139 0.342 0.739
Se 0.996 0.165 0.000
Se 0.496 0.835 0.500
S 0.495 0.829 0.000
S 0.996 0.668 0.251
S 0.496 0.332 0.249
S 0.995 0.171 0.500
S 0.496 0.332 0.751
S 0.996 0.668 0.749

- crystal system = orthorhombic
- total energy (eV/atom) = -4.189
- space group = No. 31

---

Record 2
Entry from Alexandria via LeMat-Bulk: CePm6Pb6 after structural relaxation (PBE-GGA).

a = 7.415 Å, b = 7.415 Å, c = 9.461 Å
α = 90.00°, β = 90.00°, γ = 120.00°
Last column: magnetic moment on the atom in μB.
Positions (direct):
Ce 0.000 0.000 0.000  0.90
Pm 0.000 0.500 0.747  -0.01
Pm 0.500 0.000 0.747  -0.01
Pm 0.500 0.500 0.747  -0.01
Pm 0.500 0.000 0.253  -0.01
Pm 0.000 0.500 0.253  -0.01
Pm 0.500 0.500 0.253  -0.01
Pb 0.000 0.000 0.663  -0.02
Pb 0.000 0.000 0.337  -0.02
Pb 0.333 0.667 0.000  -0.01
Pb 0.667 0.333 0.000  -0.01
Pb 0.333 0.667 0.500  0.00
Pb 0.667 0.333 0.500  0.00

- crystal system = hexagonal
- calculated formation energy (kJ/mol of atoms) = -27.87
- total energy (eV/atom) = -4.649
- space group = No. 191

---

Record 3
Entry from Alexandria via LeMat-Bulk: ThSb3Pd3 after structural relaxation (PBE-GGA).

a = 7.196 Å, b = 7.196 Å, c = 7.196 Å
α = 90.00°, β = 90.00°, γ = 90.00°
Positions (direct):
Sb 0.250 0.000 0.500
Sb 0.000 0.500 0.250
Sb 0.500 0.750 0.000
Sb 0.750 0.000 0.500
Sb 0.000 0.500 0.750
Sb 0.500 0.250 0.000
Pd 0.000 0.250 0.500
Pd 0.000 0.750 0.500
Pd 0.500 0.000 0.750
Pd 0.750 0.500 0.000
Pd 0.500 0.000 0.250
Pd 0.250 0.500 0.000
Th 0.500 0.500 0.500
Th 0.000 0.000 0.000

- crystal system = cubic
- total energy (eV/atom) = -5.179
- space group = No. 223

---

- Look up the total energy of the first one.
  -4.189 eV/atom